(1)
The following is a DFT calculation (PBE) of SrTa2Zn after structural relaxation.

Energy = -25.29 eV for the cell shown
Total magnetic moment = 0.0 μB/f.u.
DFT formation energy = 0.34 eV/atom
V = 92 Å³ per cell

The structure in POSCAR format:
```
SrTa2Zn
1.0
3.497 0.000 0.000
0.000 3.497 0.000
0.000 0.000 7.541
Sr Ta Zn
1 2 1
direct
0.000 0.000 0.000
0.000 0.000 0.503
0.500 0.500 0.665
0.500 0.500 0.303
```

***

(2)
The following is a DFT calculation (PBE) of ZrInCu after structural relaxation.

Energy = -15.17 eV for the cell shown
Total magnetic moment = 0.0 μB/f.u.
DFT formation energy = 0.07 eV/atom
V = 62 Å³ per cell

The structure in POSCAR format:
```
ZrInCu
1.0
3.342 0.000 0.000
-1.671 2.894 0.000
0.000 0.000 6.363
Zr In Cu
1 1 1
direct
0.000 0.000 0.000
0.333 0.667 0.613
0.667 0.333 0.305
```

***

> Look up the DFT formation energy of the second one.

0.07 eV/atom

***

> What is the total magnetic moment in the second record?

0.0 μB/f.u.